1.
{"formula": "CsScTe3", "functional": "PBE-GGA", "state": "relaxed", "magmom_total_mub_per_fu": 0.000, "energy_ha_per_atom": -0.1563, "sg": "C2/m", "e_above_lowest_polymorph_ev_per_atom": 0.0000, "crystal_system": "monoclinic", "e_form_raw_ev_per_atom": -0.93, "lattice": [[9.466, -3.094, 0.000], [9.466, 3.094, 0.000], [-1.912, 0.000, 7.402]], "species": ["Cs", "Cs", "Sc", "Sc", "Te", "Te", "Te", "Te", "Te", "Te"], "fractional_positions": [[0.219, 0.219, 0.244], [0.781, 0.781, 0.756], [0.500, 0.500, 0.000], [0.500, 0.500, 0.500], [0.156, 0.661, 0.196], [0.339, 0.844, 0.804], [0.383, 0.383, 0.678], [0.617, 0.617, 0.322], [0.661, 0.156, 0.196], [0.844, 0.339, 0.804]]}

2.
{"formula": "CsSc3Te", "functional": "PBE-GGA", "state": "relaxed", "magmom_total_mub_per_fu": 0.000, "energy_ha_per_atom": -0.1224, "sg": "Pm-3m", "e_above_lowest_polymorph_ev_per_atom": 0.9068, "crystal_system": "cubic", "e_form_raw_ev_per_atom": 1.27, "lattice": [[5.305, 0.000, 0.000], [0.000, 5.305, 0.000], [0.000, 0.000, 5.305]], "species": ["Cs", "Sc", "Sc", "Sc", "Te"], "fractional_positions": [[0.000, 0.000, 0.000], [0.000, 0.000, 0.500], [0.000, 0.500, 0.000], [0.500, 0.000, 0.000], [0.500, 0.500, 0.500]]}

3.
{"formula": "Cs5Sc2Te5", "functional": "PBE-GGA", "state": "relaxed", "magmom_total_mub_per_fu": 1.040, "energy_ha_per_atom": -0.1391, "sg": "C2/m", "crystal_system": "monoclinic", "e_form_raw_ev_per_atom": -1.06, "lattice": [[8.588, -2.432, 0.000], [8.588, 2.432, 0.000], [-2.643, 0.000, 13.153]], "species": ["Cs", "Cs", "Cs", "Cs", "Cs", "Sc", "Sc", "Te", "Te", "Te", "Te", "Te"], "fractional_positions": [[0.000, 0.000, 0.000], [0.161, 0.161, 0.597], [0.282, 0.282, 0.879], [0.718, 0.718, 0.121], [0.839, 0.839, 0.403], [0.467, 0.467, 0.695], [0.533, 0.533, 0.305], [0.125, 0.125, 0.290], [0.393, 0.393, 0.159], [0.500, 0.500, 0.500], [0.607, 0.607, 0.841], [0.875, 0.875, 0.710]]}

4.
{"formula": "CsScTe4", "functional": "PBE-GGA", "state": "relaxed", "magmom_total_mub_per_fu": 0.000, "energy_ha_per_atom": -0.1517, "sg": "P4/nbm", "crystal_system": "tetragonal", "e_form_raw_ev_per_atom": -0.84, "lattice": [[6.718, 0.000, 0.000], [0.000, 6.718, 0.000], [0.000, 0.000, 9.491]], "species": ["Cs", "Cs", "Sc", "Sc", "Te", "Te", "Te", "Te", "Te", "Te", "Te", "Te"], "fractional_positions": [[0.250, 0.250, 0.000], [0.750, 0.750, 0.000], [0.250, 0.250, 0.500], [0.750, 0.750, 0.500], [0.100, 0.600, 0.317], [0.100, 0.900, 0.683], [0.400, 0.600, 0.683], [0.400, 0.900, 0.317], [0.600, 0.100, 0.683], [0.600, 0.400, 0.317], [0.900, 0.100, 0.317], [0.900, 0.400, 0.683]]}

5.
{"formula": "CsScTe3", "functional": "PBE-GGA", "state": "relaxed", "magmom_total_mub_per_fu": 0.000, "energy_ha_per_atom": -0.1521, "sg": "Pm-3m", "e_above_lowest_polymorph_ev_per_atom": 0.1151, "crystal_system": "cubic", "e_form_raw_ev_per_atom": -0.82, "lattice": [[5.710, 0.000, 0.000], [0.000, 5.710, 0.000], [0.000, 0.000, 5.710]], "species": ["Cs", "Sc", "Te", "Te", "Te"], "fractional_positions": [[0.000, 0.000, 0.000], [0.500, 0.500, 0.500], [0.000, 0.500, 0.500], [0.500, 0.000, 0.500], [0.500, 0.500, 0.000]]}

6.
{"formula": "Cs2ScTe", "functional": "PBE-GGA", "state": "relaxed", "magmom_total_mub_per_fu": 1.061, "energy_ha_per_atom": -0.0957, "sg": "Fm-3m", "e_above_lowest_polymorph_ev_per_atom": 0.3911, "crystal_system": "cubic", "e_form_raw_ev_per_atom": 0.19, "lattice": [[0.000, 4.550, 4.550], [4.550, 0.000, 4.550], [4.550, 4.550, 0.000]], "species": ["Cs", "Cs", "Sc", "Te"], "fractional_positions": [[0.250, 0.250, 0.250], [0.750, 0.750, 0.750], [0.000, 0.000, 0.000], [0.500, 0.500, 0.500]]}

7.
{"formula": "CsScTe3", "functional": "PBE-GGA", "state": "relaxed", "magmom_total_mub_per_fu": 0.000, "energy_ha_per_atom": -0.1548, "sg": "C2/c", "e_above_lowest_polymorph_ev_per_atom": 0.0410, "crystal_system": "monoclinic", "e_form_raw_ev_per_atom": -0.89, "lattice": [[4.495, -5.598, 0.000], [4.495, 5.598, 0.000], [-1.658, 0.000, 8.169]], "species": ["Cs", "Cs", "Sc", "Sc", "Te", "Te", "Te", "Te", "Te", "Te"], "fractional_positions": [[0.181, 0.819, 0.750], [0.819, 0.181, 0.250], [0.411, 0.589, 0.250], [0.589, 0.411, 0.750], [0.157, 0.843, 0.250], [0.271, 0.371, 0.928], [0.371, 0.271, 0.428], [0.629, 0.729, 0.572], [0.729, 0.629, 0.072], [0.843, 0.157, 0.750]]}

8.
{"formula": "CsSc5Te8", "functional": "PBE-GGA", "state": "relaxed", "magmom_total_mub_per_fu": 0.000, "energy_ha_per_atom": -0.1979, "sg": "C2/m", "crystal_system": "monoclinic", "e_form_raw_ev_per_atom": -1.27, "lattice": [[10.772, -2.091, 0.000], [10.772, 2.091, 0.000], [-2.554, 0.000, 10.097]], "species": ["Cs", "Sc", "Sc", "Sc", "Sc", "Sc", "Te", "Te", "Te", "Te", "Te", "Te", "Te", "Te"], "fractional_positions": [[0.000, 0.000, 0.000], [0.157, 0.157, 0.482], [0.206, 0.206, 0.844], [0.500, 0.500, 0.500], [0.794, 0.794, 0.156], [0.843, 0.843, 0.518], [0.075, 0.075, 0.666], [0.261, 0.261, 0.340], [0.335, 0.335, 0.004], [0.413, 0.413, 0.678], [0.587, 0.587, 0.322], [0.665, 0.665, 0.996], [0.739, 0.739, 0.660], [0.925, 0.925, 0.334]]}

9.
{"formula": "Cs2ScTe6", "functional": "PBE-GGA", "state": "relaxed", "magmom_total_mub_per_fu": 0.000, "energy_ha_per_atom": -0.1339, "sg": "C2/m", "crystal_system": "monoclinic", "e_form_raw_ev_per_atom": -0.66, "lattice": [[8.335, -4.724, 0.000], [8.335, 4.724, 0.000], [-0.841, 0.000, 5.070]], "species": ["Cs", "Cs", "Sc", "Te", "Te", "Te", "Te", "Te", "Te"], "fractional_positions": [[0.194, 0.194, 0.465], [0.806, 0.806, 0.535], [0.500, 0.500, 0.000], [0.177, 0.545, 0.067], [0.315, 0.685, 0.500], [0.455, 0.823, 0.933], [0.545, 0.177, 0.067], [0.685, 0.315, 0.500], [0.823, 0.455, 0.933]]}

10.
{"formula": "Cs3Th2ScTe6", "functional": "PBE-GGA", "state": "relaxed", "magmom_total_mub_per_fu": 0.000, "energy_ha_per_atom": -0.1740, "sg": "C2/m", "crystal_system": "monoclinic", "e_form_raw_ev_per_atom": -1.19, "lattice": [[3.891, -6.738, 0.000], [3.891, 6.738, 0.000], [-2.599, 0.000, 9.048]], "species": ["Cs", "Cs", "Cs", "Th", "Th", "Sc", "Te", "Te", "Te", "Te", "Te", "Te"], "fractional_positions": [[0.000, 0.000, 0.000], [0.328, 0.672, 0.000], [0.672, 0.328, 0.000], [0.166, 0.834, 0.500], [0.834, 0.166, 0.500], [0.500, 0.500, 0.500], [0.117, 0.436, 0.307], [0.247, 0.247, 0.695], [0.436, 0.117, 0.307], [0.564, 0.883, 0.693], [0.753, 0.753, 0.305], [0.883, 0.564, 0.693]]}

11.
{"formula": "Cs3ThSc2Te6", "functional": "PBE-GGA", "state": "relaxed", "magmom_total_mub_per_fu": 0.000, "energy_ha_per_atom": -0.1717, "sg": "C2/m", "crystal_system": "monoclinic", "e_form_raw_ev_per_atom": -1.21, "lattice": [[3.842, -6.655, 0.000], [3.842, 6.655, 0.000], [-2.566, 0.000, 8.946]], "species": ["Cs", "Cs", "Cs", "Th", "Sc", "Sc", "Te", "Te", "Te", "Te", "Te", "Te"], "fractional_positions": [[0.000, 0.000, 0.000], [0.337, 0.663, 0.000], [0.663, 0.337, 0.000], [0.500, 0.500, 0.500], [0.167, 0.833, 0.500], [0.833, 0.167, 0.500], [0.090, 0.437, 0.312], [0.214, 0.214, 0.686], [0.437, 0.090, 0.312], [0.563, 0.910, 0.688], [0.786, 0.786, 0.314], [0.910, 0.563, 0.688]]}

12.
{"formula": "Cs2ThScTe4", "functional": "PBE-GGA", "state": "relaxed", "magmom_total_mub_per_fu": 0.001, "energy_ha_per_atom": -0.1727, "sg": "P2/m", "crystal_system": "monoclinic", "e_form_raw_ev_per_atom": -1.20, "lattice": [[7.731, 0.000, 0.000], [0.000, 4.472, 0.000], [-2.569, 0.000, 9.002]], "species": ["Cs", "Cs", "Th", "Sc", "Te", "Te", "Te", "Te"], "fractional_positions": [[0.000, 0.000, 0.000], [0.500, 0.500, 0.000], [0.000, 0.500, 0.500], [0.500, 0.000, 0.500], [0.246, 0.000, 0.695], [0.284, 0.500, 0.314], [0.716, 0.500, 0.686], [0.754, 0.000, 0.305]]}

13.
{"formula": "Cs3Sc2TiTe6", "functional": "PBE-GGA", "state": "relaxed", "magmom_total_mub_per_fu": 1.011, "energy_ha_per_atom": -0.1680, "sg": "C2/m", "crystal_system": "monoclinic", "e_form_raw_ev_per_atom": -1.08, "lattice": [[3.743, -6.483, 0.000], [3.743, 6.483, 0.000], [-2.495, 0.000, 8.820]], "species": ["Cs", "Cs", "Cs", "Sc", "Sc", "Ti", "Te", "Te", "Te", "Te", "Te", "Te"], "fractional_positions": [[0.000, 0.000, 0.000], [0.331, 0.669, 0.000], [0.669, 0.331, 0.000], [0.166, 0.834, 0.500], [0.834, 0.166, 0.500], [0.500, 0.500, 0.500], [0.116, 0.441, 0.322], [0.235, 0.235, 0.680], [0.441, 0.116, 0.322], [0.559, 0.884, 0.678], [0.765, 0.765, 0.320], [0.884, 0.559, 0.678]]}

14.
{"formula": "Cs2TmScTe4", "functional": "PBE-GGA", "state": "relaxed", "magmom_total_mub_per_fu": 0.000, "energy_ha_per_atom": -0.1627, "sg": "P2/m", "crystal_system": "monoclinic", "e_form_raw_ev_per_atom": -1.29, "lattice": [[7.695, 0.000, 0.000], [0.000, 4.444, 0.000], [-2.562, 0.000, 8.872]], "species": ["Cs", "Cs", "Tm", "Sc", "Te", "Te", "Te", "Te"], "fractional_positions": [[0.000, 0.000, 0.000], [0.500, 0.500, 0.000], [0.000, 0.500, 0.500], [0.500, 0.000, 0.500], [0.236, 0.000, 0.686], [0.280, 0.500, 0.318], [0.720, 0.500, 0.682], [0.764, 0.000, 0.314]]}

15.
{"formula": "Cs2TmSc2Te6", "functional": "PBE-GGA", "state": "relaxed", "magmom_total_mub_per_fu": 0.000, "energy_ha_per_atom": -0.1706, "sg": "C2/m", "crystal_system": "monoclinic", "e_form_raw_ev_per_atom": -1.21, "lattice": [[3.640, -6.344, 0.000], [3.640, 6.344, 0.000], [-2.386, 0.000, 9.324]], "species": ["Cs", "Cs", "Tm", "Sc", "Sc", "Te", "Te", "Te", "Te", "Te", "Te"], "fractional_positions": [[0.163, 0.837, 0.000], [0.837, 0.163, 0.000], [0.000, 0.000, 0.500], [0.332, 0.668, 0.500], [0.668, 0.332, 0.500], [0.063, 0.403, 0.685], [0.286, 0.286, 0.315], [0.403, 0.063, 0.685], [0.597, 0.937, 0.315], [0.714, 0.714, 0.685], [0.937, 0.597, 0.315]]}

16.
{"formula": "Cs3TmSc3Te8", "functional": "PBE-GGA", "state": "relaxed", "magmom_total_mub_per_fu": 0.000, "energy_ha_per_atom": -0.1702, "sg": "R-3m", "crystal_system": "trigonal", "e_form_raw_ev_per_atom": -1.22, "lattice": [[4.251, 2.454, 9.161], [-4.251, 2.454, 9.161], [0.000, -4.908, 9.161]], "species": ["Cs", "Cs", "Cs", "Tm", "Sc", "Sc", "Sc", "Te", "Te", "Te", "Te", "Te", "Te", "Te", "Te"], "fractional_positions": [[0.000, 0.500, 0.500], [0.500, 0.000, 0.500], [0.500, 0.500, 0.000], [0.500, 0.500, 0.500], [0.000, 0.000, 0.500], [0.000, 0.500, 0.000], [0.500, 0.000, 0.000], [0.217, 0.735, 0.735], [0.227, 0.227, 0.227], [0.265, 0.265, 0.783], [0.265, 0.783, 0.265], [0.735, 0.217, 0.735], [0.735, 0.735, 0.217], [0.773, 0.773, 0.773], [0.783, 0.265, 0.265]]}

17.
{"formula": "Cs2Sc2UTe6", "functional": "PBE-GGA", "state": "relaxed", "magmom_total_mub_per_fu": 2.000, "energy_ha_per_atom": -0.1890, "sg": "C2/m", "crystal_system": "monoclinic", "e_form_raw_ev_per_atom": -1.10, "lattice": [[3.732, -6.481, 0.000], [3.732, 6.481, 0.000], [-2.442, 0.000, 9.148]], "species": ["Cs", "Cs", "Sc", "Sc", "U", "Te", "Te", "Te", "Te", "Te", "Te"], "fractional_positions": [[0.164, 0.836, 0.000], [0.836, 0.164, 0.000], [0.333, 0.667, 0.500], [0.667, 0.333, 0.500], [0.000, 0.000, 0.500], [0.062, 0.403, 0.683], [0.286, 0.286, 0.317], [0.403, 0.062, 0.683], [0.597, 0.938, 0.317], [0.714, 0.714, 0.683], [0.938, 0.597, 0.317]]}

18.
{"formula": "Cs3ScU3Te8", "functional": "PBE-GGA", "state": "relaxed", "magmom_total_mub_per_fu": 8.001, "energy_ha_per_atom": -0.2003, "sg": "R-3m", "crystal_system": "trigonal", "e_form_raw_ev_per_atom": -0.92, "lattice": [[4.437, 2.562, 9.171], [-4.437, 2.562, 9.171], [0.000, -5.124, 9.171]], "species": ["Cs", "Cs", "Cs", "Sc", "U", "U", "U", "Te", "Te", "Te", "Te", "Te", "Te", "Te", "Te"], "fractional_positions": [[0.000, 0.500, 0.500], [0.500, 0.000, 0.500], [0.500, 0.500, 0.000], [0.500, 0.500, 0.500], [0.000, 0.000, 0.500], [0.000, 0.500, 0.000], [0.500, 0.000, 0.000], [0.231, 0.231, 0.231], [0.239, 0.723, 0.723], [0.277, 0.277, 0.761], [0.277, 0.761, 0.277], [0.723, 0.239, 0.723], [0.723, 0.723, 0.239], [0.761, 0.277, 0.277], [0.769, 0.769, 0.769]]}

19.
{"formula": "Cs2ScU2Te6", "functional": "PBE-GGA", "state": "relaxed", "magmom_total_mub_per_fu": 5.000, "energy_ha_per_atom": -0.2005, "sg": "C2/m", "crystal_system": "monoclinic", "e_form_raw_ev_per_atom": -0.96, "lattice": [[3.805, -6.570, 0.000], [3.805, 6.570, 0.000], [-2.601, 0.000, 9.193]], "species": ["Cs", "Cs", "Sc", "U", "U", "Te", "Te", "Te", "Te", "Te", "Te"], "fractional_positions": [[0.169, 0.831, 0.000], [0.831, 0.169, 0.000], [0.000, 0.000, 0.500], [0.332, 0.668, 0.500], [0.668, 0.332, 0.500], [0.067, 0.386, 0.687], [0.260, 0.260, 0.315], [0.386, 0.067, 0.687], [0.614, 0.933, 0.313], [0.740, 0.740, 0.685], [0.933, 0.614, 0.313]]}

20.
{"formula": "Cs3YSc2Te6", "functional": "PBE-GGA", "state": "relaxed", "magmom_total_mub_per_fu": 0.000, "energy_ha_per_atom": -0.1714, "sg": "C2/m", "crystal_system": "monoclinic", "e_form_raw_ev_per_atom": -1.29, "lattice": [[3.840, -6.651, 0.000], [3.840, 6.651, 0.000], [-2.562, 0.000, 8.865]], "species": ["Cs", "Cs", "Cs", "Y", "Sc", "Sc", "Te", "Te", "Te", "Te", "Te", "Te"], "fractional_positions": [[0.000, 0.000, 0.000], [0.337, 0.663, 0.000], [0.663, 0.337, 0.000], [0.500, 0.500, 0.500], [0.167, 0.833, 0.500], [0.833, 0.167, 0.500], [0.094, 0.439, 0.316], [0.216, 0.216, 0.682], [0.439, 0.094, 0.316], [0.561, 0.906, 0.684], [0.784, 0.784, 0.318], [0.906, 0.561, 0.684]]}